Entry from Alexandria: a relaxed RbBi2Pb8 crystal (GGA-PBE).

a b c (Å): 6.5554 6.5554 11.3249
angles (deg): 90.00 90.00 90.00
Sites, in units of the cell vectors:
Rb (0.5000, 0.5000, 0.5000)
Bi (0.5000, 0.0000, 0.0000)
Pb (0.7520, 0.2480, 0.2137)
Pb (0.2480, 0.7520, 0.2137)
Pb (0.7520, 0.7520, 0.7863)
Pb (0.7520, 0.2480, 0.7863)
Pb (0.2480, 0.7520, 0.7863)
Bi (0.0000, 0.5000, 0.0000)
Pb (0.2480, 0.2480, 0.2137)
Pb (0.7520, 0.7520, 0.2137)
Pb (0.2480, 0.2480, 0.7863)

Output
Volume   486.66 Å³/f.u.
Size of the total moment   0.000 μB per atom
DFT total energy   -3.3658 eV per atom
Formation energy   0.125 eV per atom